Here is an optimized crystal structure of PrDyCd6 from OQMD via LeMat-Bulk. Energies are from GGA-PBE.

Values from the calculation:
* total energy: -2.14 eV/atom
* total magnetization: 0.01 μB per formula unit
* energy relative to the lowest polymorph listed for this composition: 11 meV/atom
* formation energy: -292 meV per atom
* symmetry: Amm2

Cell: 4.8651 6.5060 6.5060 Å, 67.05 90.00 90.00°
With the nearest neighbours (Å) after each atom.
Positions (direct):
1 Cd 0.0000 0.8041 0.3806  7 Cd 3.01-3.31, 2 Pr 3.23, 2 Dy 3.24-3.30
2 Cd 0.0000 0.3806 0.8041  7 Cd 3.01-3.31, 2 Pr 3.23, 2 Dy 3.24-3.30
3 Cd 0.5000 0.1896 0.6208  7 Cd 3.00-3.32, 2 Dy 3.21, 2 Pr 3.23-3.31
4 Cd 0.5000 0.6762 0.6762  8 Cd 3.01-3.32, 2 Dy 3.16
5 Cd 0.5000 0.6208 0.1896  7 Cd 3.00-3.32, 2 Dy 3.21, 2 Pr 3.23-3.31
6 Cd 0.0000 0.3304 0.3304  8 Cd 3.00-3.31, 2 Pr 3.22
7 Pr 0.5000 0.1358 0.1358  10 Cd 3.22-3.31
8 Dy 0.0000 0.8625 0.8625  10 Cd 3.16-3.30